No. 1
InCoPt2: optimized geometry, PBE.

Calculated volume = 15.7 Å³ per atom
Calculated total energy = -5.650 eV per atom
Energy of formation from the pure elements = -0.169 eV per atom
Symmetry = P4/mmm, No. 123

Lattice parameters (Å, degrees): 2.935 2.935 7.296 90.00 90.00 90.00
Positions (direct):
Pt (0.000, 0.000, 0.476)
Pt (0.000, 0.000, 0.024)
In (0.500, 0.500, 0.750)
Co (0.500, 0.500, 0.250)

No. 2
TaAs3S: optimized geometry, PBE.

Formation energy from raw total energies = 566 meV per atom
Calculated volume = 24.5 Å³ per atom
Calculated total energy = -5.420 eV per atom
E above lowest polymorph = 0.0 meV per atom
Symmetry = Pm-3m, No. 221

Lattice parameters (Å, degrees): 4.970 4.970 4.970 90.00 90.00 90.00
Positions (direct):
As (0.500, 0.000, 0.000)
As (0.000, 0.500, 0.000)
S (0.500, 0.500, 0.500)
As (0.000, 0.000, 0.500)
Ta (0.000, 0.000, 0.000)

No. 3
AuC2: optimized geometry, PBE.

Calculated volume = 11.7 Å³ per atom
Calculated total energy = -4.509 eV per atom
Energy of formation from the pure elements = 2.733 eV per atom
E above lowest polymorph = 2466.8 meV per atom
Symmetry = Fm-3m, No. 225

Lattice parameters (Å, degrees): 3.674 3.674 3.674 60.03 60.03 60.03
Positions (direct):
C (0.750, 0.750, 0.750)
C (0.250, 0.250, 0.250)
Au (0.000, 0.000, 0.000)

No. 4
ZnInSe2: optimized geometry, PBE.

Formation energy from raw total energies = -450 meV per atom
Calculated volume = 29.1 Å³ per atom
Calculated total energy = -3.196 eV per atom
Symmetry = I-42d, No. 122

Lattice parameters (Å, degrees): 6.193 6.193 7.484 65.56 65.56 90.00
Positions (direct):
Zn (0.500, 0.500, 0.000)
Zn (0.250, 0.750, 0.500)
Se (0.167, 0.625, 0.250)
Se (0.875, 0.833, 0.750)
Se (0.583, 0.125, 0.250)
Se (0.375, 0.417, 0.750)
In (0.750, 0.250, 0.500)
In (0.000, 0.000, 0.000)

No. 5
Pu2UMoN4: optimized geometry, PBE.

Formation energy from raw total energies = -933 meV per atom
Calculated volume = 14.0 Å³ per atom
Calculated total energy = -11.443 eV per atom
Symmetry = Cmcm, No. 63

Lattice parameters (Å, degrees): 3.265 6.113 11.669 90.00 90.00 105.49
Positions (direct):
N (0.000, 0.000, 0.500)
N (0.721, 0.442, 0.869)
N (0.000, 0.000, 0.000)
U (0.880, 0.760, 0.250)
N (0.721, 0.442, 0.631)
N (0.279, 0.558, 0.131)
N (0.474, 0.948, 0.750)
Mo (0.143, 0.286, 0.250)
Pu (0.368, 0.736, 0.952)
Pu (0.368, 0.736, 0.548)
Mo (0.857, 0.714, 0.750)
Pu (0.632, 0.264, 0.048)
N (0.279, 0.558, 0.369)
U (0.120, 0.240, 0.750)
Pu (0.632, 0.264, 0.452)
N (0.526, 0.052, 0.250)

No. 6
TbPm4Se4: optimized geometry, PBE.

Formation energy from raw total energies = -1580 meV per atom
Calculated volume = 27.8 Å³ per atom
Calculated total energy = -5.755 eV per atom
Symmetry = I4/m, No. 87

Lattice parameters (Å, degrees): 5.902 7.147 7.149 80.17 65.62 65.62
Positions (direct):
Pm (0.400, 0.398, 0.802)
Se (0.096, 0.606, 0.201)
Se (0.298, 0.798, 0.606)
Pm (0.202, 0.198, 0.398)
Pm (0.798, 0.802, 0.602)
Se (0.702, 0.202, 0.394)
Tb (0.000, 0.000, 0.000)
Pm (0.600, 0.602, 0.198)
Se (0.904, 0.394, 0.799)

No. 7
TlInAsSe3: optimized geometry, PBE.

Formation energy from raw total energies = -248 meV per atom
Calculated volume = 29.4 Å³ per atom
Calculated total energy = -3.615 eV per atom
Symmetry = P2_1/m, No. 11

Lattice parameters (Å, degrees): 4.038 8.713 10.549 107.84 90.00 90.00
Positions (direct):
Se (0.250, 0.811, 0.518)
Se (0.750, 0.479, 0.142)
Tl (0.750, 0.800, 0.790)
Se (0.750, 0.890, 0.109)
As (0.750, 0.331, 0.881)
Se (0.250, 0.521, 0.858)
As (0.250, 0.669, 0.119)
Se (0.750, 0.189, 0.482)
In (0.250, 0.146, 0.639)
Se (0.250, 0.110, 0.891)
Tl (0.250, 0.200, 0.210)
In (0.750, 0.854, 0.361)

No. 8
Rb2BaSeF6: optimized geometry, PBE.

Formation energy from raw total energies = -2520 meV per atom
Calculated volume = 25.4 Å³ per atom
Calculated total energy = -4.377 eV per atom
Symmetry = I4/mmm, No. 139

Lattice parameters (Å, degrees): 6.430 6.430 7.643 65.13 65.13 90.00
Positions (direct):
Rb (0.750, 0.250, 0.500)
Se (0.500, 0.500, 0.000)
F (0.279, 0.279, 0.000)
Rb (0.250, 0.750, 0.500)
F (0.721, 0.279, 0.000)
F (0.721, 0.721, 0.000)
F (0.794, 0.794, 0.413)
F (0.279, 0.721, 0.000)
F (0.206, 0.206, 0.587)
Ba (0.000, 0.000, 0.000)

No. 9
FeRh4W: optimized geometry, PBE.

Calculated volume = 15.0 Å³ per atom
Calculated total energy = -8.162 eV per atom
Energy of formation from the pure elements = 0.308 eV per atom
E above lowest polymorph = 413.2 meV per atom
Symmetry = F-43m, No. 216

Lattice parameters (Å, degrees): 5.035 5.035 5.035 60.00 60.00 60.00
Positions (direct):
Rh (0.375, 0.375, 0.375)
Rh (0.876, 0.375, 0.375)
W (0.750, 0.750, 0.750)
Rh (0.375, 0.375, 0.876)
Fe (0.000, 0.000, 0.000)
Rh (0.375, 0.876, 0.375)

No. 10
LiEuAg2: optimized geometry, PBE.

Calculated volume = 21.9 Å³ per atom
Calculated total energy = -4.696 eV per atom
Energy of formation from the pure elements = -0.224 eV per atom
E above lowest polymorph = 14.1 meV per atom
Symmetry = P4/mmm, No. 123

Lattice parameters (Å, degrees): 3.491 3.491 7.174 90.00 90.00 90.00
Positions (direct):
Eu (0.500, 0.500, 0.500)
Ag (0.000, 0.000, 0.200)
Ag (0.000, 0.000, 0.800)
Li (0.500, 0.500, 0.000)

No. 11
TmCuHgPd: optimized geometry, PBE.

Calculated volume = 18.7 Å³ per atom
Calculated total energy = -3.951 eV per atom
Energy of formation from the pure elements = -0.435 eV per atom
Symmetry = F-43m, No. 216

Lattice parameters (Å, degrees): 4.727 4.727 4.727 60.00 60.00 60.00
Positions (direct):
Pd (0.750, 0.750, 0.750)
Tm (0.000, 0.000, 0.000)
Hg (0.500, 0.500, 0.500)
Cu (0.250, 0.250, 0.250)

No. 12
Cs3Sm2DyO6: optimized geometry, PBE.

Formation energy from raw total energies = -2573 meV per atom
Calculated volume = 19.7 Å³ per atom
Calculated total energy = -6.436 eV per atom
Symmetry = C2/m, No. 12

Lattice parameters (Å, degrees): 6.273 6.273 7.228 98.32 98.32 120.00
Positions (direct):
O (0.056, 0.382, 0.166)
Cs (0.834, 0.166, 0.500)
O (0.618, 0.944, 0.834)
Cs (0.500, 0.500, 0.500)
O (0.944, 0.618, 0.834)
Dy (0.000, 0.000, 0.000)
O (0.382, 0.056, 0.166)
O (0.729, 0.729, 0.167)
O (0.271, 0.271, 0.833)
Sm (0.667, 0.333, 0.000)
Cs (0.166, 0.834, 0.500)
Sm (0.333, 0.667, 0.000)

- The lowest calculated volume belongs to which entry?
  AuC2